A plane-wave DFT calculation with PBE-GGA was carried out for a relaxed structure of AcPmSm2As4.

Lattice parameters (Å, degrees): 7.4615 4.3092 7.4628 90.00 109.40 90.00
With the nearest neighbours (Å) after each atom.
Space group P2/m (No. 10)
Unique sites:
Ac1 0.0000 0.0000 0.0000 [1 per cell]  6 As 3.11-3.12
Pm1 0.0000 0.5000 0.5000 [1 per cell]  6 As 3.05
Sm1 0.5000 0.0000 0.5000 [1 per cell]  6 As 2.98
Sm2 0.5000 0.5000 0.0000 [1 per cell]  6 As 3.04
As1 0.2566 0.0000 0.7453 [2 per cell]  3 Sm 2.98-3.04, 2 Pm 3.05, 1 Ac 3.11
As2 0.2621 0.5000 0.2613 [2 per cell]  3 Sm 2.98-3.04, 1 Pm 3.05, 2 Ac 3.12

Fermi-level density of states = 0.74 states/eV/f.u.
total energy = -6.102 eV/atom
crystal system = monoclinic
magnetization = 0.00 μB per formula unit